{"formula": "Tl3HgRh", "functional": "GGA-PBE", "state": "relaxed", "lattice": [[3.554, -5.220, 4.211], [2.173, -6.781, -2.630], [7.249, -2.013, -1.005]], "species": ["Tl", "Tl", "Tl", "Tl", "Tl", "Tl", "Hg", "Hg", "Rh", "Rh"], "fractional_positions": [[0.117, 0.790, 0.379], [0.790, 0.379, 0.117], [0.883, 0.210, 0.621], [0.210, 0.621, 0.883], [0.379, 0.117, 0.790], [0.621, 0.883, 0.210], [0.334, 0.334, 0.334], [0.666, 0.666, 0.666], [0.188, 0.188, 0.188], [0.812, 0.812, 0.812]], "sg": "No. 148", "formation_energy_kj_per_mol_atoms": 10, "polymorph_energy_mev_per_atom": 130, "vol_a3_per_atom": 28.2}